[1]
Computed, not measured: a geometry-optimized PuU2Ge2 structure at the PBE-GGA level of DFT.

Cell: 4.427 5.477 5.477 Å, 79.21 66.17 66.16°
Each line ends with the local moment (μB).
Sites, in units of the cell vectors:
U  0.000  0.813  0.687  2.15
U  0.000  0.187  0.313  2.15
Pu  0.500  0.500  0.000  5.54
Ge  0.714  0.786  0.286  -0.07
Ge  0.286  0.214  0.714  -0.07

Results
Its crystal system is orthorhombic. The value obtained for the formation energy is -0.241 eV/atom.

***

[2]
Computed, not measured: a geometry-optimized Pr2SmRh structure at the PBE-GGA level of DFT.

Cell: 3.792 3.792 10.947 Å, 80.03 80.03 60.00°
Each line ends with the local moment (μB).
Sites, in units of the cell vectors:
Pr  0.111  0.111  0.668  0.04
Rh  0.500  0.500  0.500  0.00
Pr  0.889  0.889  0.332  0.04
Sm  0.000  0.000  0.000  0.22

Results
Its crystal system is trigonal. The value obtained for the formation energy is -0.071 eV/atom. The excess energy over the best structure of this formula in the dataset is 0.346 eV/atom.

***

[3]
Computed, not measured: a geometry-optimized Cs2NbRhCl6 structure at the PBE-GGA level of DFT.

Cell: 7.324 7.324 7.320 Å, 59.98 59.98 90.00°
Each line ends with the local moment (μB).
Sites, in units of the cell vectors:
Cl  0.256  0.256  0.000  0.03
Cl  0.255  0.255  0.489  0.03
Rh  0.000  0.000  0.000  1.57
Cl  0.744  0.256  0.000  0.03
Cs  0.250  0.750  0.500  0.00
Cl  0.745  0.745  0.511  0.03
Nb  0.500  0.500  0.000  1.78
Cl  0.744  0.744  0.000  0.03
Cs  0.750  0.250  0.500  0.00
Cl  0.256  0.744  0.000  0.03

Results
Its crystal system is tetragonal. The raw formation energy is -1167 meV/atom.

***

[4]
Computed, not measured: a geometry-optimized KCr5S8 structure at the PBE-GGA level of DFT.

Cell: 9.184 9.184 8.703 Å, 74.53 74.53 21.98°
Each line ends with the local moment (μB).
Sites, in units of the cell vectors:
S  0.577  0.577  0.853  -0.09
S  0.171  0.171  0.515  -0.11
Cr  0.704  0.704  0.666  2.91
Cr  0.342  0.342  0.971  2.92
Cr  0.000  0.000  0.000  2.89
Cr  0.296  0.296  0.334  2.91
S  0.238  0.238  0.845  -0.06
S  0.829  0.829  0.485  -0.11
S  0.084  0.084  0.174  -0.08
S  0.916  0.916  0.826  -0.08
S  0.762  0.762  0.155  -0.06
K  0.500  0.500  0.500  0.00
Cr  0.658  0.658  0.029  2.92
S  0.423  0.423  0.147  -0.09

Results
Its crystal system is monoclinic. The raw formation energy is -802 meV/atom.